Entry from Alexandria via LeMat-Bulk: a geometry-optimized MnTlAsO4 structure (GGA+U).

```
MnTlAsO4
1.0
5.522 0.000 0.000
0.000 5.738 0.000
-0.223 0.000 7.686
Mn Tl As O
2 2 2 8
Direct
0.191 0.250 0.471
0.809 0.750 0.529
0.233 0.750 0.137
0.767 0.250 0.863
0.314 0.750 0.651
0.686 0.250 0.349
0.112 0.518 0.667
0.112 0.982 0.667
0.427 0.750 0.443
0.429 0.250 0.219
0.571 0.750 0.781
0.573 0.250 0.557
0.888 0.018 0.333
0.888 0.482 0.333
```

Computed properties:
Raw total energy (eV per atom): -6.211
Volume (Å³ per cell): 243.6
Space group: No. 11
Size of the total moment (μB per cell): 10.00